Entry 1:
! Li2SbMo GGA-PBE relaxed; values from VASP
&SYSTEM
  ibrav = 0, nat = 4, ntyp = 3
/
ATOMIC_SPECIES
Li 6.94 Li.upf
Mo 95.94 Mo.upf
Sb 121.76 Sb.upf
CELL_PARAMETERS angstrom
3.592 0.000 0.000
0.000 3.592 0.000
0.000 0.000 5.391
ATOMIC_POSITIONS crystal
Li 0.000 0.000 0.489
Li 0.000 0.000 0.011
Mo 0.500 0.500 0.250
Sb 0.500 0.500 0.750
! symmetry = P4/mmm
! raw total energy = -17.5 eV per cell
! energy relative to the elements, uncorrected = 1.25 eV/f.u.

***

Entry 2:
! Ba2CoMo GGA-PBE relaxed; values from VASP
&SYSTEM
  ibrav = 0, nat = 4, ntyp = 3
/
ATOMIC_SPECIES
Mo 95.94 Mo.upf
Ba 137.33 Ba.upf
Co 58.93 Co.upf
CELL_PARAMETERS angstrom
-0.881 -3.558 -1.088
2.478 -1.886 4.162
-4.068 -0.638 5.380
ATOMIC_POSITIONS crystal
Mo 0.500 0.577 0.721
Ba 0.500 0.266 0.344
Ba 0.000 0.984 0.907
Co 0.000 0.673 0.528
! symmetry = Amm2
! raw total energy = -19.3 eV per cell

***

Entry 3:
! KNi2Sb GGA-PBE relaxed; values from VASP
&SYSTEM
  ibrav = 0, nat = 4, ntyp = 3
/
ATOMIC_SPECIES
Ni 58.69 Ni.upf
K 39.10 K.upf
Sb 121.76 Sb.upf
CELL_PARAMETERS angstrom
4.334 0.014 0.005
2.157 3.760 0.005
2.128 1.237 5.959
ATOMIC_POSITIONS crystal
Ni 0.570 0.570 0.291
Ni 0.930 0.930 0.209
K 0.750 0.750 0.750
Sb 0.250 0.250 0.250
! symmetry = C2/m
! raw total energy = -17.3 eV per cell
! energy relative to the elements, uncorrected = -0.53 eV/f.u.

***

Entry 4:
! LaCoP2 GGA-PBE relaxed; values from VASP
&SYSTEM
  ibrav = 0, nat = 4, ntyp = 3
/
ATOMIC_SPECIES
Co 58.93 Co.upf
La 138.91 La.upf
P 30.97 P.upf
CELL_PARAMETERS angstrom
-2.163 1.317 -5.689
-5.108 1.000 -3.419
-3.107 4.149 -3.450
ATOMIC_POSITIONS crystal
Co 0.576 0.576 0.576
La 0.758 0.758 0.758
P 0.200 0.200 0.200
P 0.966 0.966 0.966
! symmetry = R3m
! raw total energy = -26.2 eV per cell

***

Entry 5:
! RuRh2W GGA-PBE relaxed; values from VASP
&SYSTEM
  ibrav = 0, nat = 4, ntyp = 3
/
ATOMIC_SPECIES
Rh 102.91 Rh.upf
Ru 101.07 Ru.upf
W 183.84 W.upf
CELL_PARAMETERS angstrom
9.071 -0.009 -0.005
8.657 2.709 -0.005
8.657 1.318 2.366
ATOMIC_POSITIONS crystal
Rh 0.501 0.501 0.501
Rh 0.999 0.999 0.999
Ru 0.250 0.250 0.250
W 0.750 0.750 0.750
! symmetry = R-3m
! raw total energy = -36.8 eV per cell

***

Entry 6:
! LiPr2Zn3Ga4 GGA-PBE relaxed; values from VASP
&SYSTEM
  ibrav = 0, nat = 10, ntyp = 4
/
ATOMIC_SPECIES
Zn 65.41 Zn.upf
Ga 69.72 Ga.upf
Li 6.94 Li.upf
Pr 140.91 Pr.upf
CELL_PARAMETERS angstrom
4.296 0.000 0.000
0.000 4.296 0.000
0.000 0.000 10.638
ATOMIC_POSITIONS crystal
Zn 0.000 0.500 0.137
Zn 0.500 0.000 0.863
Zn 0.000 0.000 0.500
Ga 0.500 0.500 0.000
Ga 0.000 0.500 0.370
Ga 0.000 0.000 0.000
Ga 0.500 0.000 0.630
Li 0.500 0.500 0.500
Pr 0.500 0.000 0.248
Pr 0.000 0.500 0.752
! symmetry = P-4m2
! raw total energy = -32.0 eV per cell

***

Entry 7:
! TeW2Cl GGA-PBE relaxed; values from VASP
&SYSTEM
  ibrav = 0, nat = 4, ntyp = 3
/
ATOMIC_SPECIES
Te 127.60 Te.upf
W 183.84 W.upf
Cl 35.45 Cl.upf
CELL_PARAMETERS angstrom
4.609 0.008 0.000
3.560 2.927 0.000
1.033 0.371 5.238
ATOMIC_POSITIONS crystal
Te 0.250 0.250 0.250
W 0.001 0.001 0.985
W 0.499 0.499 0.515
Cl 0.750 0.750 0.750
! symmetry = C2/m
! raw total energy = -27.3 eV per cell
! energy relative to the elements, uncorrected = 3.60 eV/f.u.

***

Entry 8:
! SmAlZnHg GGA-PBE relaxed; values from VASP
&SYSTEM
  ibrav = 0, nat = 4, ntyp = 4
/
ATOMIC_SPECIES
Hg 200.59 Hg.upf
Al 26.98 Al.upf
Zn 65.41 Zn.upf
Sm 150.36 Sm.upf
CELL_PARAMETERS angstrom
4.964 0.000 0.000
2.482 4.299 0.000
2.482 1.433 4.053
ATOMIC_POSITIONS crystal
Hg 0.500 0.500 0.500
Al 0.250 0.250 0.250
Zn 0.000 0.000 0.000
Sm 0.750 0.750 0.750
! symmetry = F-43m
! raw total energy = -11.1 eV per cell

***

Entry 9:
! La2HRh GGA-PBE relaxed; values from VASP
&SYSTEM
  ibrav = 0, nat = 4, ntyp = 3
/
ATOMIC_SPECIES
H 1.01 H.upf
La 138.91 La.upf
Rh 102.91 Rh.upf
CELL_PARAMETERS angstrom
-4.523 -1.877 -0.693
-3.402 2.597 -2.478
-1.412 -1.448 -4.513
ATOMIC_POSITIONS crystal
H 0.000 0.000 0.000
La 0.250 0.250 0.250
La 0.750 0.750 0.750
Rh 0.500 0.500 0.500
! symmetry = Fm-3m
! raw total energy = -22.1 eV per cell

***

Entry 10:
! CsKTlBi2 GGA-PBE relaxed; values from VASP
&SYSTEM
  ibrav = 0, nat = 5, ntyp = 4
/
ATOMIC_SPECIES
Tl 204.38 Tl.upf
Cs 132.91 Cs.upf
Bi 208.98 Bi.upf
K 39.10 K.upf
CELL_PARAMETERS angstrom
4.717 0.000 0.000
0.000 6.041 0.000
-2.359 -3.020 7.508
ATOMIC_POSITIONS crystal
Tl 0.842 0.842 0.684
Cs 0.441 0.441 0.881
Bi 0.699 0.199 0.398
Bi 0.057 0.057 0.113
K 0.174 0.674 0.348
! symmetry = Imm2
! raw total energy = -13.2 eV per cell

***

Entry 11:
! Sm4H2Se5 GGA-PBE relaxed; values from VASP
&SYSTEM
  ibrav = 0, nat = 11, ntyp = 3
/
ATOMIC_SPECIES
Sm 150.36 Sm.upf
H 1.01 H.upf
Se 78.96 Se.upf
CELL_PARAMETERS angstrom
4.201 0.000 0.000
0.000 7.599 -1.887
-2.100 -4.428 9.743
ATOMIC_POSITIONS crystal
Sm 0.023 0.290 0.046
Sm 0.977 0.710 0.954
Sm 0.712 0.700 0.424
Sm 0.288 0.300 0.576
H 0.426 0.545 0.852
H 0.574 0.455 0.148
Se 0.860 0.187 0.720
Se 0.500 0.000 0.000
Se 0.827 0.603 0.654
Se 0.173 0.397 0.346
Se 0.140 0.813 0.280
! symmetry = C2/m
! raw total energy = -58.8 eV per cell

***

Entry 12:
! Zr2ZnPt GGA-PBE relaxed; values from VASP
&SYSTEM
  ibrav = 0, nat = 4, ntyp = 3
/
ATOMIC_SPECIES
Zr 91.22 Zr.upf
Zn 65.41 Zn.upf
Pt 195.08 Pt.upf
CELL_PARAMETERS angstrom
-4.570 0.393 2.070
-1.213 -4.654 1.477
4.165 2.661 0.941
ATOMIC_POSITIONS crystal
Zr 0.500 0.500 0.000
Zr 0.000 0.000 0.000
Zn 0.250 0.750 0.500
Pt 0.750 0.250 0.500
! symmetry = I4/mmm
! raw total energy = -26.7 eV per cell

***

Entry 13:
! Li2TiPd4 GGA-PBE relaxed; values from VASP
&SYSTEM
  ibrav = 0, nat = 7, ntyp = 3
/
ATOMIC_SPECIES
Li 6.94 Li.upf
Pd 106.42 Pd.upf
Ti 47.87 Ti.upf
CELL_PARAMETERS angstrom
-2.690 -2.932 0.630
2.294 -1.466 2.969
-3.001 6.076 2.586
ATOMIC_POSITIONS crystal
Li 0.254 0.254 0.507
Li 0.746 0.746 0.493
Pd 0.620 0.120 0.240
Pd 0.380 0.880 0.760
Pd 0.880 0.380 0.760
Pd 0.120 0.620 0.240
Ti 0.000 0.000 0.000
! symmetry = I4/mmm
! raw total energy = -35.1 eV per cell

***

Entry 14:
! ReP2Se GGA-PBE relaxed; values from VASP
&SYSTEM
  ibrav = 0, nat = 4, ntyp = 3
/
ATOMIC_SPECIES
P 30.97 P.upf
Re 186.21 Re.upf
Se 78.96 Se.upf
CELL_PARAMETERS angstrom
-3.540 0.841 2.419
1.961 -1.826 3.452
1.978 3.247 -2.153
ATOMIC_POSITIONS crystal
P 0.250 0.750 0.500
P 0.000 0.000 0.000
Re 0.500 0.500 0.000
Se 0.750 0.250 0.500
! symmetry = I-4m2
! raw total energy = -24.3 eV per cell
! energy relative to the elements, uncorrected = 2.45 eV/f.u.

***

Entry 15:
! Ta5GaRu6 GGA-PBE relaxed; values from VASP
&SYSTEM
  ibrav = 0, nat = 12, ntyp = 3
/
ATOMIC_SPECIES
Ru 101.07 Ru.upf
Ta 180.95 Ta.upf
Ga 69.72 Ga.upf
CELL_PARAMETERS angstrom
4.286 0.018 -1.251
-0.843 5.395 -2.809
-0.047 0.568 7.817
ATOMIC_POSITIONS crystal
Ru 0.158 0.910 0.317
Ru 0.842 0.593 0.683
Ru 0.500 0.750 0.000
Ru 0.158 0.407 0.317
Ru 0.842 0.090 0.683
Ru 0.500 0.250 0.000
Ta 0.671 0.671 0.341
Ta 0.333 0.833 0.665
Ta 0.000 0.500 0.000
Ta 0.667 0.167 0.335
Ta 0.329 0.329 0.659
Ga 0.000 0.000 0.000
! symmetry = Immm
! raw total energy = -122.6 eV per cell

***

Entry 16:
! TcNi2Au GGA-PBE relaxed; values from VASP
&SYSTEM
  ibrav = 0, nat = 4, ntyp = 3
/
ATOMIC_SPECIES
Au 196.97 Au.upf
Tc 98.00 Tc.upf
Ni 58.69 Ni.upf
CELL_PARAMETERS angstrom
-1.449 3.961 0.725
-4.212 0.733 0.207
-1.823 0.959 3.752
ATOMIC_POSITIONS crystal
Au 0.500 0.500 0.500
Tc 0.750 0.750 0.750
Ni 0.000 0.000 0.000
Ni 0.250 0.250 0.250
! symmetry = F-43m
! raw total energy = -23.6 eV per cell

***

Entry 17:
! Tl2ReIr GGA-PBE relaxed; values from VASP
&SYSTEM
  ibrav = 0, nat = 4, ntyp = 3
/
ATOMIC_SPECIES
Re 186.21 Re.upf
Tl 204.38 Tl.upf
Ir 192.22 Ir.upf
CELL_PARAMETERS angstrom
-0.885 -4.777 -1.968
2.986 -0.961 -4.200
1.043 1.765 4.825
ATOMIC_POSITIONS crystal
Re 0.750 0.250 0.500
Tl 0.250 0.750 0.500
Tl 0.000 0.000 0.000
Ir 0.500 0.500 0.000
! symmetry = I-4m2
! raw total energy = -21.7 eV per cell

***

Entry 18:
! KNp2Pb2O7 GGA-PBE relaxed; values from VASP
&SYSTEM
  ibrav = 0, nat = 12, ntyp = 4
/
ATOMIC_SPECIES
O 16.00 O.upf
Np 237.00 Np.upf
Pb 207.20 Pb.upf
K 39.10 K.upf
CELL_PARAMETERS angstrom
-3.131 1.573 2.327
-1.690 -3.872 0.343
9.273 -0.905 9.290
ATOMIC_POSITIONS crystal
O 0.416 0.916 0.832
O 0.079 0.580 0.159
O 0.500 0.500 0.000
O 0.921 0.420 0.841
O 0.334 0.334 0.668
O 0.666 0.666 0.332
O 0.584 0.084 0.168
Np 0.584 0.584 0.168
Np 0.416 0.416 0.832
Pb 0.291 0.791 0.582
Pb 0.709 0.209 0.418
K 0.000 0.000 0.000
! symmetry = Immm
! raw total energy = -94.9 eV per cell
! energy relative to the elements, uncorrected = -25.82 eV/f.u.

***

Entry 19:
! LiVNi2Ag GGA-PBE relaxed; values from VASP
&SYSTEM
  ibrav = 0, nat = 5, ntyp = 4
/
ATOMIC_SPECIES
Ag 107.87 Ag.upf
Li 6.94 Li.upf
Ni 58.69 Ni.upf
V 50.94 V.upf
CELL_PARAMETERS angstrom
4.283 0.000 0.000
0.000 4.635 0.000
0.000 0.000 4.283
ATOMIC_POSITIONS crystal
Ag 0.500 0.500 0.500
Li 0.000 0.500 0.000
Ni 0.000 0.000 0.500
Ni 0.500 0.000 0.000
V 0.000 0.000 0.000
! symmetry = P4/mmm
! raw total energy = -20.7 eV per cell

***

Entry 20:
! Dy2Zn3Pb GGA-PBE relaxed; values from VASP
&SYSTEM
  ibrav = 0, nat = 12, ntyp = 3
/
ATOMIC_SPECIES
Zn 65.41 Zn.upf
Pb 207.20 Pb.upf
Dy 162.50 Dy.upf
CELL_PARAMETERS angstrom
5.681 0.250 -1.369
-2.003 5.323 -1.369
-0.174 -0.263 8.742
ATOMIC_POSITIONS crystal
Zn 0.841 0.841 0.682
Zn 0.682 0.161 0.843
Zn 0.839 0.318 0.157
Zn 0.161 0.682 0.843
Zn 0.159 0.159 0.318
Zn 0.318 0.839 0.157
Pb 0.666 0.666 0.331
Pb 0.334 0.334 0.669
Dy 0.250 0.750 0.500
Dy 0.757 0.757 0.000
Dy 0.243 0.243 0.000
Dy 0.750 0.250 0.500
! symmetry = Fmmm
! raw total energy = -37.9 eV per cell

***

Entry 21:
! GaGeS3 GGA-PBE relaxed; values from VASP
&SYSTEM
  ibrav = 0, nat = 10, ntyp = 3
/
ATOMIC_SPECIES
S 32.06 S.upf
Ga 69.72 Ga.upf
Ge 72.64 Ge.upf
CELL_PARAMETERS angstrom
3.500 0.000 0.000
-1.750 7.269 0.224
0.000 -1.783 9.932
ATOMIC_POSITIONS crystal
S 0.632 0.264 0.409
S 0.832 0.664 0.902
S 0.068 0.137 0.785
S 0.368 0.736 0.591
S 0.168 0.336 0.098
S 0.932 0.863 0.215
Ga 0.575 0.151 0.961
Ga 0.425 0.849 0.039
Ge 0.088 0.176 0.274
Ge 0.912 0.824 0.726
! symmetry = C2/m
! raw total energy = -44.0 eV per cell
! energy relative to the elements, uncorrected = -1.95 eV/f.u.

***

Entry 22:
! ScSiRu GGA-PBE relaxed; values from VASP
&SYSTEM
  ibrav = 0, nat = 9, ntyp = 3
/
ATOMIC_SPECIES
Sc 44.96 Sc.upf
Si 28.09 Si.upf
Ru 101.07 Ru.upf
CELL_PARAMETERS angstrom
3.381 0.000 0.000
0.000 6.909 0.000
0.000 -3.454 5.983
ATOMIC_POSITIONS crystal
Sc 0.000 0.597 0.000
Sc 0.000 0.000 0.597
Sc 0.000 0.403 0.403
Si 0.500 0.333 0.667
Si 0.500 0.667 0.333
Si 0.000 0.000 0.000
Ru 0.500 0.748 0.748
Ru 0.500 0.252 0.000
Ru 0.500 0.000 0.252
! symmetry = P-62m
! raw total energy = -71.4 eV per cell
! energy relative to the elements, uncorrected = -2.78 eV/f.u.

***

Entry 23:
! LaNb2Ga2 GGA-PBE relaxed; values from VASP
&SYSTEM
  ibrav = 0, nat = 5, ntyp = 3
/
ATOMIC_SPECIES
Ga 69.72 Ga.upf
Nb 92.91 Nb.upf
La 138.91 La.upf
CELL_PARAMETERS angstrom
-3.839 -3.424 -0.261
2.359 -2.915 3.530
-2.774 -1.122 4.685
ATOMIC_POSITIONS crystal
Ga 0.250 0.750 0.500
Ga 0.750 0.250 0.500
Nb 0.350 0.350 0.299
Nb 0.650 0.650 0.701
La 0.000 0.000 0.000
! symmetry = I4/mmm
! raw total energy = -31.2 eV per cell